This record from the Alexandria database describes a relaxed NiHgGe2 crystal. The functional is PBE.

a = 4.4223 Å, b = 4.4223 Å, c = 8.5382 Å
α = 74.99°, β = 74.99°, γ = 90.00°
Positions (direct):
Ge1 0.2023 0.6250 0.2500
Ge2 0.8750 0.7977 0.7500
Ge3 0.5477 0.1250 0.2500
Ge4 0.3750 0.4523 0.7500
Ni1 0.2500 0.7500 0.5000
Ni2 0.5000 0.5000 0.0000
Hg1 0.7500 0.2500 0.5000
Hg2 0.0000 0.0000 0.0000

Computed properties:
* energy of formation from the pure elements: 196 meV per atom
* spin magnetization: 0.0 μB/cell
* uncorrected energy: -3.634 eV/atom
* symmetry: I-42d (122)

This record from the Alexandria database describes a relaxed Tb2TeI3 crystal. The functional is PBE.

a = 4.2548 Å, b = 11.0363 Å, c = 11.2975 Å
α = 85.54°, β = 79.15°, γ = 78.89°
Positions (direct):
I1 0.9550 0.8235 0.2664
I2 0.6726 0.6851 0.9697
I3 0.0450 0.1765 0.7336
I4 0.3274 0.3149 0.0303
I5 0.7754 0.8404 0.6089
I6 0.2246 0.1596 0.3911
Te1 0.6019 0.4730 0.3232
Te2 0.3981 0.5270 0.6768
Tb1 0.5852 0.2845 0.5451
Tb2 0.1412 0.5691 0.1484
Tb3 0.4148 0.7155 0.4549
Tb4 0.8588 0.4309 0.8516

Computed properties:
* spin magnetization: 0.0 μB/cell
* uncorrected energy: -4.109 eV/atom
* formation energy without anion corrections: -1267 meV/atom
* symmetry: C2/m (12)

This record from the Alexandria database describes a relaxed Li8InCu2 crystal. The functional is PBE.

a = 4.0694 Å, b = 8.4224 Å, c = 7.0444 Å
α = 53.29°, β = 90.07°, γ = 90.12°
Positions (direct):
Li1 0.0011 0.3193 0.7236
Li2 0.5000 0.2608 0.4784
Li3 0.5007 0.3409 0.0000
Li4 0.9989 0.6807 0.2764
Li5 0.5000 0.7392 0.5216
Li6 0.4993 0.6591 0.0000
Li7 0.9989 0.9571 0.7236
Li8 0.0011 0.0429 0.2764
Cu1 0.0000 0.3940 0.2120
Cu2 0.0000 0.6060 0.7880
In1 0.5000 0.0000 0.0000

Computed properties:
* energy of formation from the pure elements: -52 meV per atom
* spin magnetization: 0.0 μB/cell
* uncorrected energy: -2.438 eV/atom
* symmetry: C2/m (12)

This record from the Alexandria database describes a relaxed RbSrHf2Ti crystal. The functional is PBE.

a = 5.3511 Å, b = 5.0471 Å, c = 5.3511 Å
α = 90.00°, β = 90.00°, γ = 90.00°
Last column: magnetic moment on the atom in μB.
Positions (direct):
Rb1 0.0000 0.0000 0.0000  0.13
Ti1 0.0000 0.5000 0.0000  1.23
Hf1 0.0000 0.0000 0.5000  0.32
Hf2 0.5000 0.0000 0.0000  0.28
Sr1 0.5000 0.5000 0.5000  0.02

Computed properties:
* energy of formation from the pure elements: 1956 meV per atom
* spin magnetization: 2.6 μB/cell
* uncorrected energy: -4.135 eV/atom
* symmetry: P4/mmm (123)

This record from the Alexandria database describes a relaxed Sr2Li9Mg6 crystal. The functional is PBE.

a = 6.0299 Å, b = 6.0299 Å, c = 15.0930 Å
α = 90.00°, β = 90.00°, γ = 120.00°
Positions (direct):
Sr1 0.0000 0.0000 0.3344
Sr2 0.0000 0.0000 0.6656
Li1 0.5000 0.5000 0.1678
Li2 0.5000 0.0000 0.1678
Li3 0.0000 0.5000 0.5000
Li4 0.5000 0.5000 0.5000
Li5 0.5000 0.0000 0.8322
Li6 0.5000 0.5000 0.8322
Li7 0.0000 0.5000 0.1678
Li8 0.0000 0.5000 0.8322
Li9 0.5000 0.0000 0.5000
Mg1 0.6667 0.3333 0.3336
Mg2 0.3333 0.6667 0.6664
Mg3 0.3333 0.6667 0.3336
Mg4 0.6667 0.3333 0.0000
Mg5 0.3333 0.6667 0.0000
Mg6 0.6667 0.3333 0.6664

Computed properties:
* energy of formation from the pure elements: 63 meV per atom
* spin magnetization: 0.0 μB/cell
* uncorrected energy: -1.711 eV/atom
* symmetry: P6/mmm (191)

This record from the Alexandria database describes a relaxed TaTl2Cr2Se6 crystal. The functional is PBE.

a = 6.3346 Å, b = 6.3346 Å, c = 8.3213 Å
α = 97.07°, β = 97.07°, γ = 120.01°
Last column: magnetic moment on the atom in μB.
Positions (direct):
Se1 0.9402 0.6007 0.3163  -0.05
Se2 0.6007 0.9402 0.3163  -0.05
Se3 0.7184 0.7184 0.6824  -0.04
Se4 0.3993 0.0598 0.6837  -0.05
Se5 0.0598 0.3993 0.6837  -0.05
Se6 0.2816 0.2816 0.3176  -0.04
Tl1 0.1633 0.8367 0.0000  0.02
Tl2 0.8367 0.1633 0.0000  0.02
Cr1 0.6683 0.3317 0.5000  2.91
Cr2 0.3317 0.6683 0.5000  2.91
Ta1 0.0000 0.0000 0.5000  -0.14

Computed properties:
* spin magnetization: 5.8 μB/cell
* uncorrected energy: -5.692 eV/atom
* formation energy without anion corrections: -534 meV/atom
* symmetry: C2/m (12)

What did the fifth record say?
This record from the Alexandria database describes a relaxed Sr2Li9Mg6 crystal. The functional is PBE.

a = 6.0299 Å, b = 6.0299 Å, c = 15.0930 Å
α = 90.00°, β = 90.00°, γ = 120.00°
Positions (direct):
Sr1 0.0000 0.0000 0.3344
Sr2 0.0000 0.0000 0.6656
Li1 0.5000 0.5000 0.1678
Li2 0.5000 0.0000 0.1678
Li3 0.0000 0.5000 0.5000
Li4 0.5000 0.5000 0.5000
Li5 0.5000 0.0000 0.8322
Li6 0.5000 0.5000 0.8322
Li7 0.0000 0.5000 0.1678
Li8 0.0000 0.5000 0.8322
Li9 0.5000 0.0000 0.5000
Mg1 0.6667 0.3333 0.3336
Mg2 0.3333 0.6667 0.6664
Mg3 0.3333 0.6667 0.3336
Mg4 0.6667 0.3333 0.0000
Mg5 0.3333 0.6667 0.0000
Mg6 0.6667 0.3333 0.6664

Computed properties:
* energy of formation from the pure elements: 63 meV per atom
* spin magnetization: 0.0 μB/cell
* uncorrected energy: -1.711 eV/atom
* symmetry: P6/mmm (191)

> uncorrected energy of number 2 (Tb2TeI3)?

-4.109 eV/atom

> spin magnetization of number 1 (NiHgGe2)?

0.0 μB/cell